# SrCdTeO | the Open Quantum Materials Database | PBE-GGA | optimized geometry
# * density: 4.8 g/cm³
# * total DFT energy (no corrections): -3.761 eV per atom
# * V: 118.2 Å³/f.u.
data_SrCdTeO
_cell_length_a 5.4840
_cell_length_b 5.4840
_cell_length_c 7.8624
_cell_angle_alpha 90.00
_cell_angle_beta 90.00
_cell_angle_gamma 90.00
_space_group_name_H-M_alt 'P 4/n m m'
_space_group_IT_number 129
loop_
_space_group_symop_operation_xyz
'x,y,z'
'-x,-y,-z'
'-y+1/2,x,z'
'y+1/2,-x,-z'
'-x+1/2,-y+1/2,z'
'x+1/2,y+1/2,-z'
'y,-x+1/2,z'
'-y,x+1/2,-z'
'x+1/2,-y,-z'
'-x+1/2,y,z'
'-y,-x,-z'
'y,x,z'
'-x,y+1/2,-z'
'x,-y+1/2,z'
'y+1/2,x+1/2,-z'
'-y+1/2,-x+1/2,z'
loop_
_atom_site_label
_atom_site_type_symbol
_atom_site_fract_x
_atom_site_fract_y
_atom_site_fract_z
Sr1 Sr 0.2500 0.2500 0.1845
Cd1 Cd 0.2500 0.2500 0.6496
Te1 Te 0.2500 0.7500 0.5000
O1 O 0.2500 0.2500 0.9117